Material: RbSnHg2
Method: DFT, PBE
State: relaxed

Properties
Crystal system ... orthorhombic
Raw total energy ... -1.57 eV per atom

Unit cell a=10.6980 b=10.6980 c=5.2028 alpha=90.00 beta=90.00 gamma=152.04
Closest atoms and distances in Å follow each position.
Sites, in units of the cell vectors:
Rb 0.1076 0.8924 0.7500  10 Hg 3.89-3.97, 4 Sn 3.96
Rb 0.8924 0.1076 0.2500  10 Hg 3.89-3.97, 4 Sn 3.96
Sn 0.3209 0.6791 0.7500  5 Hg 2.97-3.00
Sn 0.6791 0.3209 0.2500  5 Hg 2.97-3.00
Hg 0.2523 0.7477 0.2500  4 Sn 2.97-3.00
Hg 0.4638 0.5362 0.7500  1 Sn 2.97, 2 Hg 3.00
Hg 0.5362 0.4638 0.2500  1 Sn 2.97, 2 Hg 3.00
Hg 0.7477 0.2523 0.7500  4 Sn 2.97-3.00